1.
! Cu2AgIr PBE relaxed; values from VASP
! - Symmetry: F-43m (216)
! - Magnetic moment: 0.000 μB per atom
! - ΔE to the lowest computed polymorph: 253.5 meV/atom
! - Calculated density: 12.3 g cm⁻³
&SYSTEM
  ibrav = 0, nat = 4, ntyp = 3
/
ATOMIC_SPECIES
Ag 107.87 Ag.upf
Cu 63.55 Cu.upf
Ir 192.22 Ir.upf
CELL_PARAMETERS angstrom
4.332 0.000 0.000
2.166 3.752 0.000
2.166 1.251 3.537
ATOMIC_POSITIONS angstrom
Ag 4.332 2.501 1.769
Cu 0.000 0.000 0.000
Cu 2.166 1.251 0.884
Ir 6.499 3.752 2.653

2.
! CuAgIr2 PBE relaxed; values from VASP
! - Symmetry: I4/mmm (139)
! - Magnetic moment: 0.169 μB per atom
! - ΔE to the lowest computed polymorph: 318.2 meV/atom
! - Calculated density: 15.5 g cm⁻³
&SYSTEM
  ibrav = 0, nat = 4, ntyp = 3
/
ATOMIC_SPECIES
Ag 107.87 Ag.upf
Cu 63.55 Cu.upf
Ir 192.22 Ir.upf
CELL_PARAMETERS angstrom
-2.510 -3.546 2.373
2.654 -4.037 1.078
0.619 4.872 0.620
ATOMIC_POSITIONS angstrom
Ag 1.672 -1.479 1.711
Cu -0.909 -1.233 2.359
Ir 0.000 0.000 0.000
Ir 0.072 -3.792 1.725

3.
! CuAgIr2 PBE relaxed; values from VASP
! - Symmetry: I-4m2 (119)
! - Magnetic moment: 0.000 μB per atom
! - ΔE to the lowest computed polymorph: 228.3 meV/atom
! - Calculated density: 15.7 g cm⁻³
&SYSTEM
  ibrav = 0, nat = 4, ntyp = 3
/
ATOMIC_SPECIES
Ag 107.87 Ag.upf
Cu 63.55 Cu.upf
Ir 192.22 Ir.upf
CELL_PARAMETERS angstrom
4.690 -0.004 0.000
1.368 4.486 0.000
-3.029 -2.241 2.792
ATOMIC_POSITIONS angstrom
Ag 3.029 2.241 0.000
Cu 2.345 -0.002 1.396
Ir 0.000 0.000 0.000
Ir 0.684 2.243 1.396

4.
! Cu2AgIr PBE relaxed; values from VASP
! - Symmetry: P2/m (10)
! - Magnetic moment: 0.001 μB per atom
! - ΔE to the lowest computed polymorph: 56.4 meV/atom
! - Calculated density: 12.5 g cm⁻³
&SYSTEM
  ibrav = 0, nat = 4, ntyp = 3
/
ATOMIC_SPECIES
Ag 107.87 Ag.upf
Cu 63.55 Cu.upf
Ir 192.22 Ir.upf
CELL_PARAMETERS angstrom
3.723 0.000 0.000
0.000 2.691 0.006
0.000 2.690 5.691
ATOMIC_POSITIONS angstrom
Ag 1.862 4.036 4.273
Cu 0.000 2.693 0.125
Cu 0.000 2.688 2.730
Ir 1.862 1.345 1.424